Material: TiRh3Se
Method: DFT, PBE
State: optimized geometry

Summary:
Volume (Å³/cell): 93.24
Formation energy without anion corrections (eV/atom): 0.4446
D(E_F) (states/eV per cell): 22.10
E above lowest polymorph (meV/atom): 0

Cell: 4.534 4.534 4.534 Å, 90.00 90.00 90.00°
Positions (direct):
Ti1 0.000 0.000 0.000
Rh1 0.000 0.500 0.500
Rh2 0.500 0.000 0.500
Rh3 0.500 0.500 0.000
Se1 0.500 0.500 0.500